Density functional theory data (PBE with a Hubbard U) for a relaxed structure of Sr4Re2NiO12.

Uncorrected energy (eV per atom): -7.14
SG: R-3m
Total magnetic moment (μB per formula unit): 2.0
Fermi-level density of states (states/eV per atom): 0.000

Cell and atoms, written as POSCAR:
```
Sr4Re2NiO12
1.0
2.7955 1.6140 9.0443
-2.7955 1.6140 9.0443
0.0000 -3.2280 9.0443
Sr Re Ni O
4 2 1 12
Cartesian
0.0000 0.0000 3.5958
0.0000 0.0000 7.9180
0.0000 0.0000 19.2150
0.0000 0.0000 23.5371
0.0000 0.0000 11.4049
0.0000 0.0000 15.7280
0.0000 0.0000 0.0000
-1.3635 -0.7872 12.3824
0.0000 -1.5459 10.2219
-1.3388 0.7729 10.2219
-1.3388 -0.7729 16.9110
0.0000 -1.5745 14.7505
-1.3635 0.7872 14.7505
1.3635 -0.7872 12.3824
0.0000 1.5745 12.3824
1.3388 0.7729 10.2219
1.3388 -0.7729 16.9110
0.0000 1.5459 16.9110
1.3635 0.7872 14.7505
```